No. 1
# Ca2BeW

A relaxed structure of Ca2BeW (PBE, Alexandria via LeMat-Bulk).

The structure belongs to space group F-43m (No. 216); the cell edges are 6.951, 6.951 and 6.951 Å and the angles 90.00°, 90.00° and 90.00°. The inequivalent atoms are Ca at (0.000, 0.000, 0.000), Ca at (0.250, 0.250, 0.250), Be at (0.000, 0.000, 0.500) and W at (0.250, 0.250, 0.750).

Its formation enthalpy at 0 K is 1.070 eV/atom. The calculation puts the electronic total energy at -4.10 eV/atom. The total magnetization comes out at 7.16 Bohr magnetons per cell.

No. 2
# La2MgPt5Rh2

A relaxed structure of La2MgPt5Rh2 (PBE, Alexandria via LeMat-Bulk).

The structure belongs to space group P4/mbm (No. 127); the cell edges are 9.500, 9.500 and 4.207 Å and the angles 90.00°, 90.00° and 90.00°. The inequivalent atoms are La at (0.172, 0.328, 0.000), Mg at (0.000, 0.000, 0.000), Pt at (0.000, 0.500, 0.500), Pt at (0.063, 0.800, 0.500) and Rh at (0.128, 0.628, 0.000).

Its formation enthalpy at 0 K is -0.746 eV/atom. The calculation puts the electronic total energy at -6.38 eV/atom. The total magnetization comes out at 0.00 Bohr magnetons per cell.

No. 3
# TbTm2Pu

A relaxed structure of TbTm2Pu (PBE, Alexandria via LeMat-Bulk).

The structure belongs to space group Pm (No. 6); the cell edges are 3.382, 5.485 and 6.628 Å and the angles 90.00°, 104.63° and 90.00°. The inequivalent atoms are Tb at (0.000, 0.000, 0.000), Tm at (0.347, 0.500, 0.700), Tm at (0.736, 0.000, 0.478) and Pu at (0.612, 0.500, 0.222).

Its formation enthalpy at 0 K is 0.125 eV/atom. The calculation puts the electronic total energy at -6.85 eV/atom. The total magnetization comes out at 6.47 Bohr magnetons per cell.

No. 4
# BaTbMgPb

A relaxed structure of BaTbMgPb (PBE, Alexandria via LeMat-Bulk).

The structure belongs to space group F-43m (No. 216); the cell edges are 8.087, 8.087 and 8.087 Å and the angles 90.00°, 90.00° and 90.00°. The inequivalent atoms are Ba at (0.000, 0.000, 0.000), Tb at (0.000, 0.000, 0.500), Mg at (0.250, 0.250, 0.250) and Pb at (0.250, 0.250, 0.750).

Its formation enthalpy at 0 K is -0.209 eV/atom. The calculation puts the electronic total energy at -3.17 eV/atom. The total magnetization comes out at 0.00 Bohr magnetons per cell.

No. 5
# Ti5In2Au

A relaxed structure of Ti5In2Au (PBE, Alexandria via LeMat-Bulk).

The structure belongs to space group I4/mmm (No. 139); the cell edges are 4.112, 4.112 and 17.123 Å and the angles 90.00°, 90.00° and 90.00°. The inequivalent atoms are Ti at (0.000, 0.000, 0.000), Ti at (0.000, 0.500, 0.119), In at (0.000, 0.000, 0.250) and Au at (0.000, 0.000, 0.500).

Its formation enthalpy at 0 K is -0.164 eV/atom. The calculation puts the electronic total energy at -6.19 eV/atom. The total magnetization comes out at 0.00 Bohr magnetons per cell.

No. 6
# PuMnPdPt

A relaxed structure of PuMnPdPt (PBE, Alexandria via LeMat-Bulk).

The structure belongs to space group F-43m (No. 216); the cell edges are 6.712, 6.712 and 6.712 Å and the angles 90.00°, 90.00° and 90.00°. The inequivalent atoms are Pu at (0.000, 0.000, 0.000), Mn at (0.000, 0.000, 0.500), Pd at (0.250, 0.250, 0.250) and Pt at (0.250, 0.250, 0.750).

Its formation enthalpy at 0 K is -0.313 eV/atom. The calculation puts the electronic total energy at -9.00 eV/atom. The total magnetization comes out at 38.63 Bohr magnetons per cell.

No. 7
# Mg6InHg2

A relaxed structure of Mg6InHg2 (PBE, Alexandria via LeMat-Bulk).

The structure belongs to space group C2/c (No. 15); the cell edges are 14.001, 10.982 and 5.329 Å and the angles 90.00°, 101.21° and 90.00°. The inequivalent atoms are Mg at (0.055, 0.121, 0.025), Mg at (0.114, 0.365, 0.309), Mg at (0.226, 0.380, 0.857), In at (0.000, 0.379, 0.750) and Hg at (0.165, 0.125, 0.588).

Its formation enthalpy at 0 K is -0.114 eV/atom. The calculation puts the electronic total energy at -1.55 eV/atom. The total magnetization comes out at 0.00 Bohr magnetons per cell.

No. 8
# SrZn8Ag2

A relaxed structure of SrZn8Ag2 (PBE, Alexandria via LeMat-Bulk).

The structure belongs to space group P4/mmm (No. 123); the cell edges are 6.852, 6.852 and 5.013 Å and the angles 90.00°, 90.00° and 90.00°. The inequivalent atoms are Sr at (0.000, 0.000, 0.000), Zn at (0.307, 0.307, 0.249) and Ag at (0.000, 0.500, 0.500).

Its formation enthalpy at 0 K is 0.090 eV/atom. The calculation puts the electronic total energy at -1.51 eV/atom. The total magnetization comes out at 0.00 Bohr magnetons per cell.

No. 9
# Sb2Te5P2

A relaxed structure of Sb2Te5P2 (PBE, Alexandria via LeMat-Bulk).

The structure belongs to space group P-3m1 (No. 164); the cell edges are 4.3314, 4.3314 and 15.7973 Å and the angles 90.00°, 90.00° and 120.00°. The inequivalent atoms are Sb at (0.3333, 0.6667, 0.1245), Te at (0.0000, 0.0000, 0.0000), Te at (0.3333, 0.6667, 0.4285), Te at (0.3333, 0.6667, 0.7651) and P at (0.0000, 0.0000, 0.3504).

For the raw formation energy, the calculation gives 1.21 eV per formula unit. The calculation puts the electronic total energy at -3.73 eV/atom. The total magnetization comes out at 0.00 Bohr magnetons per cell.

No. 10
# CdGeB3

A relaxed structure of CdGeB3 (PBE, Alexandria via LeMat-Bulk).

The structure belongs to space group Pm-3m (No. 221); the cell edges are 4.218, 4.218 and 4.218 Å and the angles 90.00°, 90.00° and 90.00°. The inequivalent atoms are Cd at (0.000, 0.000, 0.000), Ge at (0.500, 0.500, 0.500) and B at (0.000, 0.500, 0.500).

Its formation enthalpy at 0 K is 1.792 eV/atom. The calculation puts the electronic total energy at -3.32 eV/atom. The total magnetization comes out at 0.00 Bohr magnetons per cell.

No. 11
# La2MoBr

A relaxed structure of La2MoBr (PBE, Alexandria via LeMat-Bulk).

The structure belongs to space group Cmm2 (No. 35); the cell edges are 3.657, 5.816 and 10.239 Å and the angles 90.00°, 90.00° and 90.00°. The inequivalent atoms are La at (0.000, 0.000, 0.000), La at (0.000, 0.500, 0.335), Mo at (0.000, 0.000, 0.532) and Br at (0.000, 0.500, 0.758).

For the raw formation energy, the calculation gives 1.14 eV per formula unit. The calculation puts the electronic total energy at -5.30 eV/atom. The total magnetization comes out at 0.89 Bohr magnetons per cell.

No. 12
# Pm2ErTmS6

A relaxed structure of Pm2ErTmS6 (PBE, Alexandria via LeMat-Bulk).

The structure belongs to space group R3 (No. 146, hexagonal axes); the cell edges are 6.9852, 6.9852 and 18.4817 Å and the angles 90.00°, 90.00° and 120.00°. The inequivalent atoms are Pm at (0.0000, 0.0000, 0.0000), Pm at (0.0000, 0.0000, 0.4996), Er at (0.0000, 0.0000, 0.2045), Tm at (0.0000, 0.0000, 0.7040), S at (0.0462, 0.3569, 0.7740) and S at (0.0466, 0.6876, 0.2742).

For the raw formation energy, the calculation gives -20.45 eV per formula unit. The calculation puts the electronic total energy at -6.37 eV/atom. The total magnetization comes out at 0.00 Bohr magnetons per cell.